[1]
PBE La3Pm3ScTe8, relaxed; raw formation energy = -1473 meV per atom; density of states at the Fermi level = 0.566 states/eV/atom; total magnetic moment = 0.0 μB per cell
1.0
-6.0132 -3.1667 -5.8277
8.3523 1.7651 -2.7008
-1.5589 -7.0307 5.4289
La Pm Sc Te
3 3 1 8
Direct
0.0000 0.0000 0.0000 La
0.0000 0.5000 0.0000 La
0.5000 0.5000 0.0000 La
0.5000 0.0000 0.5000 Pm
0.5000 0.5000 0.5000 Pm
0.0000 0.5000 0.5000 Pm
0.0000 0.0000 0.5000 Sc
0.2526 0.5051 0.2571 Te
0.7474 0.4949 0.7429 Te
0.7598 0.5195 0.2646 Te
0.2402 0.4805 0.7354 Te
0.7599 0.0046 0.2643 Te
0.2401 0.9954 0.7357 Te
0.2446 0.0046 0.2643 Te
0.7554 0.9954 0.7357 Te

[2]
PBE La2PmScTe4, relaxed; raw formation energy = -1407 meV per atom; density of states at the Fermi level = 0.734 states/eV/atom; total magnetic moment = 0.0 μB per cell
1.0
4.4081 0.0000 0.0000
0.0000 7.7392 0.1664
0.0000 -2.6728 7.2690
La Pm Sc Te
2 1 1 4
Direct
0.5000 0.0000 0.5000 La
0.0000 0.5000 0.5000 La
0.5000 0.5000 0.0000 Pm
0.0000 0.0000 0.0000 Sc
0.5000 0.2314 0.2268 Te
0.5000 0.7686 0.7732 Te
0.0000 0.2443 0.7654 Te
0.0000 0.7557 0.2346 Te

[3]
PBE LaPmThSc, relaxed; density of states at the Fermi level = 1.143 states/eV/atom; DFT formation energy = 0.1 eV per formula unit; total magnetic moment = 0.0 μB per cell; energy relative to the lowest polymorph listed for this composition = 0.00 kcal/mol of atoms
1.0
-3.3200 1.1141 0.8712
0.4074 -1.3754 3.3113
3.6820 8.5497 3.0983
La Pm Th Sc
1 1 1 1
Direct
0.0000 0.0000 0.0873 La
0.5000 0.5000 0.8073 Pm
0.0000 0.0000 0.5570 Th
0.5000 0.5000 0.3331 Sc

[4]
PBE LaPmThSc, relaxed; density of states at the Fermi level = 1.708 states/eV/atom; DFT formation energy = 0.5 eV per formula unit; total magnetic moment = 0.0 μB per cell; energy relative to the lowest polymorph listed for this composition = 2.32 kcal/mol of atoms
1.0
5.6493 0.0000 0.0000
2.8246 4.8924 0.0000
2.8246 1.6308 4.6126
Sc La Th Pm
1 1 1 1
Direct
0.0000 0.0000 0.0000 Sc
0.2500 0.2500 0.2500 La
0.7500 0.7500 0.7500 Th
0.5000 0.5000 0.5000 Pm

[5]
PBE La2PmTm5Sc, relaxed; density of states at the Fermi level = 1.231 states/eV/atom; DFT formation energy = 1.4 eV per formula unit; total magnetic moment = 0.0 μB per cell
1.0
-2.4582 -4.9738 -0.5877
1.6963 1.1122 9.9740
-9.4145 4.5232 1.0968
La Pm Tm Sc
4 2 10 2
Direct
0.8863 0.7726 0.8136 La
0.1156 0.2312 0.7329 La
0.1137 0.2274 0.3136 La
0.8844 0.7688 0.2329 La
0.5861 0.1722 0.9619 Pm
0.4139 0.8278 0.4619 Pm
0.3774 0.7547 0.0182 Tm
0.7220 0.4440 0.8205 Tm
0.4830 0.9660 0.7391 Tm
0.2965 0.5930 0.7033 Tm
0.9839 0.9678 0.5212 Tm
0.6226 0.2453 0.5182 Tm
0.2780 0.5560 0.3205 Tm
0.5170 0.0340 0.2391 Tm
0.7035 0.4070 0.2033 Tm
0.0161 0.0322 0.0212 Tm
0.8008 0.6017 0.5133 Sc
0.1992 0.3983 0.0133 Sc

[6]
PBE La2PmTmSc, relaxed; density of states at the Fermi level = 1.441 states/eV/atom; DFT formation energy = 1.8 eV per formula unit; total magnetic moment = 0.0 μB per cell
1.0
-5.9678 -2.3706 3.4773
-2.2847 -4.1573 -6.7552
4.0490 -2.5250 5.2277
La Pm Tm Sc
4 2 2 2
Direct
0.5000 0.3008 0.0000 La
0.0000 0.6992 0.0000 La
0.5000 0.6992 0.0000 La
0.0000 0.3008 0.0000 La
0.2500 0.7311 0.4621 Pm
0.7500 0.2689 0.5379 Pm
0.7500 0.7442 0.4883 Tm
0.2500 0.2558 0.5117 Tm
0.2500 0.9903 0.9805 Sc
0.7500 0.0097 0.0195 Sc

[7]
PBE La4PmTm2Sc, relaxed; density of states at the Fermi level = 1.607 states/eV/atom; DFT formation energy = 0.7 eV per formula unit; total magnetic moment = 0.0 μB per cell
1.0
5.8791 0.0000 0.0000
0.0001 9.7134 -0.3266
0.0001 3.7137 4.5610
La Pm Tm Sc
4 1 2 1
Direct
0.0000 0.7495 0.7507 La
0.0000 0.2505 0.2493 La
0.5000 0.7475 0.2525 La
0.5000 0.2525 0.7475 La
0.5000 0.5000 0.0000 Pm
0.0000 0.0000 0.0000 Tm
0.5000 0.0000 0.5000 Tm
0.0000 0.5000 0.5000 Sc

[8]
PBE LaPm2Tm5Sc, relaxed; density of states at the Fermi level = 1.144 states/eV/atom; DFT formation energy = 2.4 eV per formula unit; total magnetic moment = 0.0 μB per cell
1.0
8.6548 0.0000 0.0000
0.0000 8.6548 0.0000
-4.3274 -4.3274 7.5666
La Pm Tm Sc
2 4 10 2
Direct
0.2500 0.2500 0.5000 La
0.7500 0.7500 0.5000 La
0.1183 0.3817 0.0000 Pm
0.6183 0.1183 0.0000 Pm
0.3817 0.8817 0.0000 Pm
0.8817 0.6183 0.0000 Pm
0.9337 0.4337 0.2763 Tm
0.6574 0.1574 0.7237 Tm
0.0663 0.5663 0.7237 Tm
0.1574 0.0663 0.7237 Tm
0.5663 0.6574 0.7237 Tm
0.8426 0.9337 0.2763 Tm
0.4337 0.3426 0.2763 Tm
0.3426 0.8426 0.2763 Tm
0.5000 0.5000 0.0000 Tm
0.0000 0.0000 0.0000 Tm
0.2500 0.7500 0.5000 Sc
0.7500 0.2500 0.5000 Sc

[9]
PBE LaPm4Tm2Sc, relaxed; density of states at the Fermi level = 1.452 states/eV/atom; DFT formation energy = 0.3 eV per formula unit; total magnetic moment = 0.0 μB per cell
1.0
-0.4603 0.3809 -5.0263
7.0194 -8.7435 -1.3055
-2.1095 -4.5776 -0.1538
La Pm Tm Sc
1 4 2 1
Direct
0.5000 0.5000 0.0000 La
0.0000 0.7511 0.7488 Pm
0.0000 0.2489 0.2512 Pm
0.5000 0.7513 0.2483 Pm
0.5000 0.2487 0.7517 Pm
0.0000 0.0000 0.0000 Tm
0.5000 0.0000 0.5000 Tm
0.0000 0.5000 0.5000 Sc

[10]
PBE La4Pm2TmSc, relaxed; density of states at the Fermi level = 1.495 states/eV/atom; DFT formation energy = 0.2 eV per formula unit; total magnetic moment = 0.0 μB per cell
1.0
-4.4422 2.6934 -0.0792
-2.6578 -4.3986 -0.5175
-3.3120 -5.1841 9.4656
La Pm Tm Sc
4 2 1 1
Direct
0.0000 0.7542 0.7461 La
0.0000 0.2458 0.2539 La
0.5000 0.7469 0.2533 La
0.5000 0.2531 0.7467 La
0.0000 0.0000 0.0000 Pm
0.5000 0.0000 0.5000 Pm
0.5000 0.5000 0.0000 Tm
0.0000 0.5000 0.5000 Sc

[11]
PBE LaPm2Tm4Sc, relaxed; density of states at the Fermi level = 2.293 states/eV/atom; DFT formation energy = 3.3 eV per formula unit; total magnetic moment = 0.9 μB per cell
1.0
1.2290 -9.1183 1.8502
6.6640 1.8967 6.3301
-9.9786 5.7257 -1.9719
La Pm Tm Sc
2 4 8 2
Direct
0.0000 0.5000 0.0000 La
0.0000 0.5000 0.5000 La
0.5000 0.0000 0.0000 Pm
0.5000 0.0000 0.5000 Pm
0.0000 0.0000 0.5000 Pm
0.5000 0.5000 0.0000 Pm
0.2384 0.7647 0.0014 Tm
0.7353 0.2616 0.4986 Tm
0.2647 0.7384 0.5014 Tm
0.7616 0.2353 0.9986 Tm
0.7504 0.7497 0.9854 Tm
0.7503 0.7496 0.5146 Tm
0.2497 0.2504 0.4854 Tm
0.2496 0.2503 0.0146 Tm
0.5000 0.5000 0.5000 Sc
0.0000 0.0000 0.0000 Sc

[12]
PBE La6PmY2Sc, relaxed; density of states at the Fermi level = 1.581 states/eV/atom; DFT formation energy = 2.0 eV per formula unit; total magnetic moment = 0.0 μB per cell
1.0
-0.3379 8.5641 3.3656
-1.8475 -2.6787 6.6306
5.8001 2.1444 -1.6314
La Pm Y Sc
6 1 2 1
Direct
0.3599 0.6239 0.2479 La
0.2720 0.1313 0.7187 La
0.7280 0.4126 0.2813 La
0.2720 0.5874 0.7187 La
0.7280 0.8687 0.2813 La
0.6401 0.3761 0.7521 La
0.5000 0.0000 0.0000 Pm
0.0581 0.1558 0.3116 Y
0.9419 0.8442 0.6884 Y
0.0000 0.5000 0.0000 Sc

> density of states at the Fermi level of number 2 (La2PmScTe4)?

0.734 states/eV/atom

> Number 8 is which compound?

LaPm2Tm5Sc

> Which value of density of states at the Fermi level does entry 9 give?

1.452 states/eV/atom

> Look up the total magnetic moment of the seventh one.

0.0 μB per cell